1.
Below is an optimized crystal structure of NiSn2Se, with properties calculated at the PBE-GGA level.

Summary:
For the electronic total energy, the calculation gives -4.34 eV per atom. The value obtained for the energy above the lowest structure with this stoichiometry is 0.000 eV per atom. The value obtained for the uncorrected formation energy is -8.4 kJ/mol of formula units. Its density of states at the Fermi level is 0.34 states/eV/f.u. The calculation puts the volume at 28.0 Å³/atom.

```
NiSn2Se
1.0
-3.114 3.114 5.774
3.114 -3.114 5.774
3.114 3.114 -5.774
Ni Sn Se
2 4 2
Cartesian
0.000 0.000 0.000
0.000 3.114 2.887
4.671 1.248 -1.443
1.248 1.557 1.443
-1.557 1.866 4.330
1.866 1.557 7.217
3.114 0.000 2.887
0.000 0.000 5.774
```

=====

2.
Below is an optimized crystal structure of Ni4Sn2Se, with properties calculated at the PBE-GGA level.

Summary:
For the electronic total energy, the calculation gives -4.68 eV per atom. The value obtained for the uncorrected formation energy is 182.3 kJ/mol of formula units. Its density of states at the Fermi level is 4.61 states/eV/f.u. The calculation puts the volume at 18.1 Å³/atom.

```
Ni4Sn2Se
1.0
-2.191 2.191 6.604
2.191 -2.191 6.604
2.191 2.191 -6.604
Ni Sn Se
4 2 1
Cartesian
2.191 0.000 0.000
0.000 0.000 2.216
0.000 2.191 0.000
0.000 0.000 10.992
0.000 0.000 4.718
0.000 0.000 8.490
0.000 0.000 0.000
```

=====

3.
Below is an optimized crystal structure of NiSnSe2, with properties calculated at the PBE-GGA level.

Summary:
For the electronic total energy, the calculation gives -3.91 eV per atom. The value obtained for the energy above the lowest structure with this stoichiometry is 0.496 eV per atom. The value obtained for the uncorrected formation energy is 107.8 kJ/mol of formula units. Its density of states at the Fermi level is 4.92 states/eV/f.u. The calculation puts the volume at 20.1 Å³/atom.

```
NiSnSe2
1.0
0.000 3.428 3.428
3.428 0.000 3.428
3.428 3.428 0.000
Ni Sn Se
1 1 2
Cartesian
0.000 0.000 0.000
3.428 3.428 3.428
1.714 1.714 1.714
5.143 5.143 5.143
```

=====

4.
Below is an optimized crystal structure of NiSnSe2, with properties calculated at the PBE-GGA level.

Summary:
For the electronic total energy, the calculation gives -4.16 eV per atom. The value obtained for the energy above the lowest structure with this stoichiometry is 0.244 eV per atom. The value obtained for the uncorrected formation energy is 10.5 kJ/mol of formula units. Its density of states at the Fermi level is 11.35 states/eV/f.u. The calculation puts the volume at 27.7 Å³/atom.

```
NiSnSe2
1.0
2.065 1.192 7.509
-2.065 1.192 7.509
0.000 -2.385 7.509
Ni Sn Se
1 1 2
Cartesian
0.000 0.000 0.000
0.000 0.000 11.263
0.000 0.000 2.213
0.000 0.000 20.314
```